Here is a geometry-optimized Ce4Pm2Te3N2 structure from Alexandria. Energies are from PBE.

## Properties
formation energy without anion corrections: -13.1 eV/f.u.
symmetry: I4/mmm, No. 139
total moment: 3.13 μB per formula unit

Lattice parameters (Å, degrees): 4.6271 4.6271 13.7583 99.68 99.68 90.00
Atoms (fractional coordinates):
1 Ce 0.5866 0.0866 0.1732
2 N 0.3926 0.3926 0.7852
3 Pm 0.3020 0.3020 0.6040
4 Ce 0.4134 0.9134 0.8268
5 N 0.6074 0.6074 0.2148
6 Te 0.8208 0.8208 0.6417
7 Ce 0.9134 0.4134 0.8268
8 Te 0.0000 0.0000 0.0000
9 Pm 0.6980 0.6980 0.3960
10 Te 0.1792 0.1792 0.3583
11 Ce 0.0866 0.5866 0.1732



Here is a geometry-optimized Ce3PmTh2N6 structure from Alexandria. Energies are from PBE.

## Properties
formation energy without anion corrections: -18.4 eV/f.u.
symmetry: C2/m, No. 12
total moment: 0.00 μB per formula unit

Lattice parameters (Å, degrees): 6.2533 6.2533 6.2557 99.57 99.57 120.01
Atoms (fractional coordinates):
1 N 0.4240 0.0847 0.2542
2 Th 0.6668 0.3332 0.0000
3 Ce 0.8345 0.1655 0.5000
4 Ce 0.5000 0.5000 0.5000
5 N 0.0847 0.4240 0.2542
6 Th 0.3332 0.6668 0.0000
7 Pm 0.0000 0.0000 0.0000
8 N 0.9153 0.5760 0.7458
9 Ce 0.1655 0.8345 0.5000
10 N 0.5760 0.9153 0.7458
11 N 0.7455 0.7455 0.2542
12 N 0.2545 0.2545 0.7458



Here is a geometry-optimized Ce3Pm2ThN6 structure from Alexandria. Energies are from PBE.

## Properties
formation energy without anion corrections: -18.2 eV/f.u.
symmetry: C2/m, No. 12
total moment: 0.01 μB per formula unit

Lattice parameters (Å, degrees): 3.5997 7.2007 8.0462 103.04 102.93 90.00
Atoms (fractional coordinates):
1 N 0.9975 0.2489 0.9950
2 N 0.3358 0.4091 0.6715
3 N 0.0025 0.7511 0.0050
4 Pm 0.8324 0.6641 0.6648
5 N 0.6642 0.5909 0.3285
6 Th 0.5000 0.0000 0.0000
7 N 0.3333 0.9244 0.6665
8 Ce 0.5000 0.5000 0.0000
9 Pm 0.1676 0.3359 0.3352
10 N 0.6667 0.0756 0.3335
11 Ce 0.8315 0.1685 0.6631
12 Ce 0.1685 0.8315 0.3369